VASP calculation (PBE+U) on crystalline MnTcF6 at its relaxed geometry.

Computed properties:
total magnetization: 8.0 μB/f.u.
ρ: 3.674 g cm⁻³
energy: -0.2180 hartree per atom
space-group type: C2/c

The structure in extended XYZ format:
```
16
Lattice="4.566 -2.630 0.000 4.566 2.630 0.000 -1.393 0.000 10.045" Properties=species:S:1:pos:R:3 pbc="T T T"
Mn 3.522 2.222 7.534
Mn 4.218 -2.222 2.511
Tc 1.587 1.315 5.023
Tc 2.283 -1.315 0.000
F 0.152 0.550 6.128
F 0.702 0.202 8.809
F 0.848 -0.550 1.105
F 1.398 -0.202 3.786
F 2.969 0.578 6.225
F 4.074 0.578 8.843
F 3.665 -0.578 1.202
F 4.771 -0.578 3.821
F 6.342 0.202 6.259
F 6.891 0.550 8.940
F 7.038 -0.202 1.237
F 7.588 -0.550 3.917
```